Record 1
A relaxed structure of K2CdIn6Pb. Source: Alexandria, functional PBE-GGA.

Summary:
The total magnetization comes out at 0.000 μB per atom. As for the energy of formation: 0.004 eV per atom.

Structure (CIF):
```
data_K2CdIn6Pb
_chemical_formula_sum 'K12 Cd6 In36 Pb6'
_cell_length_a 7.9549
_cell_length_b 7.9549
_cell_length_c 39.6526
_cell_angle_alpha 90.00
_cell_angle_beta 90.00
_cell_angle_gamma 120.00
_symmetry_space_group_name_H-M 'R -3 m'
_symmetry_Int_Tables_number 166
_symmetry_space_group_name_Hall '-R 3 2"'
loop_
_atom_site_label
_atom_site_type_symbol
_atom_site_fract_x
_atom_site_fract_y
_atom_site_fract_z
K1 K 0.0000 0.0000 0.1525
K2 K 0.0000 0.0000 0.2872
Cd1 Cd 0.0000 0.0000 0.0000
Cd2 Cd 0.0000 0.0000 0.5000
In1 In 0.0404 0.5202 0.1106
In2 In 0.0829 0.5415 0.7334
Pb1 Pb 0.0000 0.0000 0.3747
```

Record 2
A relaxed structure of Sc2CoH. Source: Alexandria, functional PBE-GGA.

Summary:
The total magnetization comes out at 0.000 μB per atom. The calculation puts the excess energy over the best structure of this formula in the dataset at 129 meV/atom.

Structure (CIF):
```
data_Sc2CoH
_chemical_formula_sum 'Sc6 Co3 H3'
_cell_length_a 3.6369
_cell_length_b 3.6369
_cell_length_c 19.9191
_cell_angle_alpha 90.00
_cell_angle_beta 90.00
_cell_angle_gamma 120.00
_symmetry_space_group_name_H-M 'R -3 m'
_symmetry_Int_Tables_number 166
_symmetry_space_group_name_Hall '-R 3 2"'
loop_
_atom_site_label
_atom_site_type_symbol
_atom_site_fract_x
_atom_site_fract_y
_atom_site_fract_z
Sc1 Sc 0.0000 0.0000 0.0988
Co1 Co 0.0000 0.0000 0.5000
H1 H 0.0000 0.0000 0.0000
```

Question: total magnetization of number 2 (Sc2CoH)?
Answer: 0.000 μB per atom